# 1
DFT (PBE) results for a relaxed Si2Pb3O7 crystal.

## Properties
**Total DFT energy (no corrections)**: -1454.3 eV per cell
**ΔE_f (raw)**: -2.010 eV/atom

Structure (CIF):
```
data_Si2Pb3O7
_cell_length_a 10.4069
_cell_length_b 10.4069
_cell_length_c 39.0555
_cell_angle_alpha 90.00
_cell_angle_beta 90.00
_cell_angle_gamma 120.00
_symmetry_space_group_name_H-M 'R -3 c'
_symmetry_Int_Tables_number 167
_symmetry_space_group_name_Hall '-R 3 2"c'
loop_
_atom_site_label
_atom_site_type_symbol
_atom_site_fract_x
_atom_site_fract_y
_atom_site_fract_z
_atom_site_occupancy
Si1 Si 0.0046 0.4025 0.0488 1
Pb1 Pb 0.0000 0.0000 0.1590 1
Pb2 Pb 0.0000 0.0000 0.2500 1
Pb3 Pb 0.0348 0.2808 0.9622 1
O1 O 0.0000 0.3779 0.7500 1
O2 O 0.0372 0.2646 0.1497 1
O3 O 0.0400 0.1990 0.7071 1
O4 O 0.0409 0.4707 0.5594 1
```

# 2
DFT (PBE) results for a relaxed Hf2AlSe6 crystal.

## Properties
**Total DFT energy (no corrections)**: -106.1 eV per cell
**ΔE_f (raw)**: -0.942 eV/atom

Structure (CIF):
```
data_Hf2AlSe6
_cell_length_a 6.257
_cell_length_b 6.257
_cell_length_c 11.567
_cell_angle_alpha 90.00
_cell_angle_beta 90.00
_cell_angle_gamma 90.00
_symmetry_space_group_name_H-M 'P 42/m n m'
_symmetry_Int_Tables_number 136
_symmetry_space_group_name_Hall '-P 4n 2n'
loop_
_atom_site_label
_atom_site_type_symbol
_atom_site_fract_x
_atom_site_fract_y
_atom_site_fract_z
_atom_site_occupancy
Hf1 Hf 0.000 0.000 0.163 1
Al1 Al 0.000 0.000 0.500 1
Se1 Se 0.194 0.194 0.337 1
Se2 Se 0.206 0.206 0.000 1
```

# 3
DFT (PBE) results for a relaxed NaMn3Cd crystal.

## Properties
**Total DFT energy (no corrections)**: -22.0 eV per cell
**ΔE_f**: 1552 meV/atom

Structure (CIF):
```
data_NaMn3Cd
_cell_length_a 4.766
_cell_length_b 4.766
_cell_length_c 4.766
_cell_angle_alpha 90.00
_cell_angle_beta 90.00
_cell_angle_gamma 90.00
_symmetry_space_group_name_H-M 'P m -3 m'
_symmetry_Int_Tables_number 221
_symmetry_space_group_name_Hall '-P 4 2 3'
loop_
_atom_site_label
_atom_site_type_symbol
_atom_site_fract_x
_atom_site_fract_y
_atom_site_fract_z
_atom_site_occupancy
Na1 Na 0.000 0.000 0.000 1
Mn1 Mn 0.000 0.000 0.500 1
Cd1 Cd 0.500 0.500 0.500 1
```

# 4
DFT (PBE) results for a relaxed Zn2NiAs crystal.

## Properties
**Total DFT energy (no corrections)**: -50.2 eV per cell
**ΔE_f**: 109 meV/atom

Structure (CIF):
```
data_Zn2NiAs
_cell_length_a 6.182
_cell_length_b 6.182
_cell_length_c 6.182
_cell_angle_alpha 90.00
_cell_angle_beta 90.00
_cell_angle_gamma 90.00
_symmetry_space_group_name_H-M 'F -4 3 m'
_symmetry_Int_Tables_number 216
_symmetry_space_group_name_Hall 'F -4 2 3'
loop_
_atom_site_label
_atom_site_type_symbol
_atom_site_fract_x
_atom_site_fract_y
_atom_site_fract_z
_atom_site_occupancy
Zn1 Zn 0.000 0.000 0.000 1
Zn2 Zn 0.250 0.250 0.250 1
Ni1 Ni 0.000 0.000 0.500 1
As1 As 0.250 0.250 0.750 1
```